{
  "formula": "Tm6GeBi2",
  "functional": "GGA-PBE",
  "state": "optimized geometry",
  "lattice": [[6.299, 0.000, 0.000], [0.000, 8.036, 0.000], [-6.092, 0.000, 10.160]],
  "species": ["Tm", "Tm", "Tm", "Tm", "Tm", "Tm", "Tm", "Tm", "Tm", "Tm", "Tm", "Tm", "Ge", "Ge", "Bi", "Bi", "Bi", "Bi"],
  "frac_coords": [[0.088, 0.195, 0.456], [0.088, 0.305, 0.956], [0.325, 0.670, 0.457], [0.325, 0.830, 0.957], [0.367, 0.032, 0.236], [0.367, 0.468, 0.736], [0.633, 0.532, 0.264], [0.633, 0.968, 0.764], [0.675, 0.170, 0.043], [0.675, 0.330, 0.543], [0.912, 0.695, 0.044], [0.912, 0.805, 0.544], [0.500, 0.000, 0.500], [0.500, 0.500, 0.000], [0.145, 0.113, 0.743], [0.145, 0.387, 0.243], [0.855, 0.613, 0.757], [0.855, 0.887, 0.257]],
  "density_g_cm3": 9.7,
  "spacegroup": "P2_1/c, No. 14",
  "formation_energy_mev_per_atom": -494
}

{
  "formula": "Tm3GeBi",
  "functional": "GGA-PBE",
  "state": "optimized geometry",
  "lattice": [[6.843, -3.834, 0.000], [6.843, 3.834, 0.000], [-4.493, 0.000, 11.262]],
  "species": ["Tm", "Tm", "Tm", "Tm", "Tm", "Tm", "Tm", "Tm", "Tm", "Tm", "Tm", "Tm", "Ge", "Ge", "Ge", "Ge", "Bi", "Bi", "Bi", "Bi"],
  "frac_coords": [[0.078, 0.201, 0.797], [0.183, 0.689, 0.948], [0.201, 0.078, 0.297], [0.257, 0.385, 0.626], [0.311, 0.817, 0.552], [0.385, 0.257, 0.126], [0.615, 0.743, 0.874], [0.689, 0.183, 0.448], [0.743, 0.615, 0.374], [0.799, 0.922, 0.703], [0.817, 0.311, 0.052], [0.922, 0.799, 0.203], [0.000, 0.500, 0.000], [0.225, 0.775, 0.750], [0.500, 0.000, 0.500], [0.775, 0.225, 0.250], [0.208, 0.487, 0.374], [0.487, 0.208, 0.874], [0.513, 0.792, 0.126], [0.792, 0.513, 0.626]],
  "density_g_cm3": 8.9,
  "spacegroup": "C2/c, No. 15",
  "formation_energy_mev_per_atom": -490
}